Density functional theory data (PBE-GGA) for Ho3PaRu4 after structural relaxation.

Unit cell a=7.3388 b=7.3388 c=7.3388 alpha=144.55 beta=127.37 gamma=65.07
With the nearest neighbours (Å) after each atom.
Fractional coordinates of all 8 atoms:
Ho 0.0000 0.0000 0.0000  8 Ru 2.88-2.94
Ho 0.2733 0.2733 0.0000  2 Ru 2.73
Ho 0.7267 0.7267 0.0000  2 Ru 2.73
Pa 0.5000 0.0000 0.5000  4 Ru 2.61
Ru 0.1465 0.6465 0.5000  2 Ru 2.63, 4 Ho 2.73-2.88
Ru 0.2927 0.5000 0.7927  2 Pa 2.61, 3 Ru 2.63-2.70
Ru 0.7073 0.5000 0.2073  2 Pa 2.61, 3 Ru 2.63-2.70
Ru 0.8535 0.3535 0.5000  2 Ru 2.63, 4 Ho 2.73-2.88

Results
* final energy: -0.5656 Ry/atom
* crystal system: orthorhombic

=====

Density functional theory data (PBE-GGA) for HoSc2PaRu4 after structural relaxation.

Unit cell a=7.9915 b=7.9915 c=7.9915 alpha=34.47 beta=34.47 gamma=34.47
With the nearest neighbours (Å) after each atom.
Fractional coordinates of all 8 atoms:
Ho 0.0000 0.0000 0.0000  8 Ru 2.89-2.95
Sc 0.2532 0.2532 0.2532  8 Ru 2.81-2.94
Sc 0.7468 0.7468 0.7468  8 Ru 2.81-2.94
Pa 0.5000 0.5000 0.5000  8 Ru 2.66-2.87
Ru 0.1282 0.1282 0.1282  4 Sc 2.81-2.94, 3 Pa 2.87, 1 Ho 2.89
Ru 0.3819 0.3819 0.3819  1 Pa 2.66, 4 Sc 2.82-2.90, 3 Ho 2.95
Ru 0.6181 0.6181 0.6181  1 Pa 2.66, 4 Sc 2.82-2.90, 3 Ho 2.95
Ru 0.8718 0.8718 0.8718  4 Sc 2.81-2.94, 3 Pa 2.87, 1 Ho 2.89

Results
* final energy: -0.6320 Ry/atom
* crystal system: trigonal

=====

Density functional theory data (PBE-GGA) for TbHo2Pa2Ru5 after structural relaxation.

Unit cell a=10.5810 b=10.5810 c=3.7013 alpha=90.00 beta=90.00 gamma=90.00
With the nearest neighbours (Å) after each atom.
Fractional coordinates of all 20 atoms:
Tb 0.0000 0.0000 0.0000  8 Ru 2.95
Tb 0.5000 0.5000 0.0000  8 Ru 2.95
Ho 0.1726 0.3274 0.0000  1 Pa 2.90, 2 Ru 3.18
Ho 0.3274 0.8274 0.0000  1 Pa 2.90, 2 Ru 3.18
Ho 0.6726 0.1726 0.0000  1 Pa 2.90, 2 Ru 3.18
Ho 0.8274 0.6726 0.0000  1 Pa 2.90, 2 Ru 3.18
Pa 0.1337 0.6337 0.0000  6 Ru 2.62-2.73, 1 Ho 2.90
Pa 0.3663 0.1337 0.0000  6 Ru 2.62-2.73, 1 Ho 2.90
Pa 0.6337 0.8663 0.0000  6 Ru 2.62-2.73, 1 Ho 2.90
Pa 0.8663 0.3663 0.0000  6 Ru 2.62-2.73, 1 Ho 2.90
Ru 0.0000 0.5000 0.5000  4 Pa 2.73
Ru 0.0560 0.7908 0.5000  2 Pa 2.62
Ru 0.2092 0.0560 0.5000  2 Pa 2.62
Ru 0.2908 0.5560 0.5000  2 Pa 2.62
Ru 0.4440 0.2908 0.5000  2 Pa 2.62
Ru 0.5000 0.0000 0.5000  4 Pa 2.73
Ru 0.5560 0.7092 0.5000  2 Pa 2.62
Ru 0.7092 0.4440 0.5000  2 Pa 2.62
Ru 0.7908 0.9440 0.5000  2 Pa 2.62
Ru 0.9440 0.2092 0.5000  2 Pa 2.62

Results
* final energy: -0.6051 Ry/atom
* crystal system: tetragonal

=====

Density functional theory data (PBE-GGA) for TbHo2PaRu2 after structural relaxation.

Unit cell a=8.3243 b=8.3243 c=8.3243 alpha=131.17 beta=70.49 gamma=132.51
With the nearest neighbours (Å) after each atom.
Fractional coordinates of all 12 atoms:
Tb 0.2500 0.2500 0.0000  4 Ru 2.99
Tb 0.7500 0.7500 0.0000  4 Ru 2.99
Ho 0.1974 0.6907 0.8880  2 Ru 2.80-3.00
Ho 0.3026 0.1907 0.4933  2 Ru 2.80-3.00
Ho 0.6974 0.8093 0.5067  2 Ru 2.80-3.00
Ho 0.8026 0.3093 0.1120  2 Ru 2.80-3.00
Pa 0.2500 0.7500 0.5000  4 Ru 2.60
Pa 0.7500 0.2500 0.5000  4 Ru 2.60
Ru 0.1034 0.2960 0.3994  2 Pa 2.60, 1 Ho 2.80
Ru 0.3966 0.7960 0.1926  2 Pa 2.60, 1 Ho 2.80
Ru 0.6034 0.2040 0.8074  2 Pa 2.60, 1 Ho 2.80
Ru 0.8966 0.7040 0.6006  2 Pa 2.60, 1 Ho 2.80

Results
* final energy: -0.5336 Ry/atom
* crystal system: orthorhombic

=====

Density functional theory data (PBE-GGA) for HoTm2PaRu2 after structural relaxation.

Unit cell a=8.2944 b=8.2944 c=8.2944 alpha=131.68 beta=70.01 gamma=132.60
With the nearest neighbours (Å) after each atom.
Fractional coordinates of all 12 atoms:
Ho 0.2500 0.2500 0.0000  4 Ru 2.97
Ho 0.7500 0.7500 0.0000  4 Ru 2.97
Tm 0.1967 0.6935 0.8902  2 Ru 2.78-2.98
Tm 0.3033 0.1935 0.4967  2 Ru 2.78-2.98
Tm 0.6967 0.8065 0.5033  2 Ru 2.78-2.98
Tm 0.8033 0.3065 0.1098  2 Ru 2.78-2.98
Pa 0.2500 0.7500 0.5000  4 Ru 2.60
Pa 0.7500 0.2500 0.5000  4 Ru 2.60
Ru 0.1047 0.2950 0.3997  2 Pa 2.60, 1 Tm 2.78
Ru 0.3953 0.7950 0.1902  2 Pa 2.60, 1 Tm 2.78
Ru 0.6047 0.2050 0.8098  2 Pa 2.60, 1 Tm 2.78
Ru 0.8953 0.7050 0.6003  2 Pa 2.60, 1 Tm 2.78

Results
* final energy: -0.5307 Ry/atom
* crystal system: orthorhombic

=====

Density functional theory data (PBE-GGA) for Ho2TmPa2Ru5 after structural relaxation.

Unit cell a=10.5923 b=10.5923 c=3.6494 alpha=90.00 beta=90.00 gamma=90.00
With the nearest neighbours (Å) after each atom.
Fractional coordinates of all 20 atoms:
Ho 0.1714 0.3286 0.0000  1 Pa 2.88, 2 Ru 3.15
Ho 0.3286 0.8286 0.0000  1 Pa 2.88, 2 Ru 3.15
Ho 0.6714 0.1714 0.0000  1 Pa 2.88, 2 Ru 3.15
Ho 0.8286 0.6714 0.0000  1 Pa 2.88, 2 Ru 3.15
Tm 0.0000 0.0000 0.0000  8 Ru 2.91
Tm 0.5000 0.5000 0.0000  8 Ru 2.91
Pa 0.1360 0.6360 0.0000  6 Ru 2.62-2.74, 1 Ho 2.88
Pa 0.3640 0.1360 0.0000  6 Ru 2.62-2.74, 1 Ho 2.88
Pa 0.6360 0.8640 0.0000  6 Ru 2.62-2.74, 1 Ho 2.88
Pa 0.8640 0.3640 0.0000  6 Ru 2.62-2.74, 1 Ho 2.88
Ru 0.0000 0.5000 0.5000  4 Pa 2.74
Ru 0.0538 0.7930 0.5000  2 Pa 2.62, 2 Tm 2.91
Ru 0.2070 0.0538 0.5000  2 Pa 2.62, 2 Tm 2.91
Ru 0.2930 0.5538 0.5000  2 Pa 2.62, 2 Tm 2.91
Ru 0.4462 0.2930 0.5000  2 Pa 2.62, 2 Tm 2.91
Ru 0.5000 0.0000 0.5000  4 Pa 2.74
Ru 0.5538 0.7070 0.5000  2 Pa 2.62, 2 Tm 2.91
Ru 0.7070 0.4462 0.5000  2 Pa 2.62, 2 Tm 2.91
Ru 0.7930 0.9462 0.5000  2 Pa 2.62, 2 Tm 2.91
Ru 0.9462 0.2070 0.5000  2 Pa 2.62, 2 Tm 2.91

Results
* final energy: -0.6049 Ry/atom
* crystal system: tetragonal

=====

Density functional theory data (PBE-GGA) for HoTm2PaRu4 after structural relaxation.

Unit cell a=8.1038 b=8.1038 c=8.1038 alpha=34.89 beta=34.89 gamma=34.89
With the nearest neighbours (Å) after each atom.
Fractional coordinates of all 8 atoms:
Ho 0.0000 0.0000 0.0000  8 Ru 2.92-3.03
Tm 0.2533 0.2533 0.2533  8 Ru 2.86-3.01
Tm 0.7467 0.7467 0.7467  8 Ru 2.86-3.01
Pa 0.5000 0.5000 0.5000  8 Ru 2.65-2.94
Ru 0.1280 0.1280 0.1280  4 Tm 2.86-3.01, 1 Ho 2.92, 3 Pa 2.94
Ru 0.3838 0.3838 0.3838  1 Pa 2.65, 3 Tm 2.89
Ru 0.6162 0.6162 0.6162  1 Pa 2.65, 3 Tm 2.89
Ru 0.8720 0.8720 0.8720  4 Tm 2.86-3.01, 1 Ho 2.92, 3 Pa 2.94

Results
* final energy: -0.5931 Ry/atom
* crystal system: trigonal

=====

Density functional theory data (PBE-GGA) for YHo2Pa2Ru5 after structural relaxation.

Unit cell a=10.5788 b=10.5788 c=3.7077 alpha=90.00 beta=90.00 gamma=90.00
With the nearest neighbours (Å) after each atom.
Fractional coordinates of all 20 atoms:
Y 0.0000 0.0000 0.0000  8 Ru 2.95
Y 0.5000 0.5000 0.0000  8 Ru 2.95
Ho 0.1728 0.3272 0.0000  1 Pa 2.90, 2 Ru 3.18
Ho 0.3272 0.8272 0.0000  1 Pa 2.90, 2 Ru 3.18
Ho 0.6728 0.1728 0.0000  1 Pa 2.90, 2 Ru 3.18
Ho 0.8272 0.6728 0.0000  1 Pa 2.90, 2 Ru 3.18
Pa 0.1333 0.6333 0.0000  6 Ru 2.62-2.72, 1 Ho 2.90
Pa 0.3667 0.1333 0.0000  6 Ru 2.62-2.72, 1 Ho 2.90
Pa 0.6333 0.8667 0.0000  6 Ru 2.62-2.72, 1 Ho 2.90
Pa 0.8667 0.3667 0.0000  6 Ru 2.62-2.72, 1 Ho 2.90
Ru 0.0000 0.5000 0.5000  4 Pa 2.72
Ru 0.0567 0.7902 0.5000  2 Pa 2.62
Ru 0.2098 0.0567 0.5000  2 Pa 2.62
Ru 0.2902 0.5567 0.5000  2 Pa 2.62
Ru 0.4433 0.2902 0.5000  2 Pa 2.62
Ru 0.5000 0.0000 0.5000  4 Pa 2.72
Ru 0.5567 0.7098 0.5000  2 Pa 2.62
Ru 0.7098 0.4433 0.5000  2 Pa 2.62
Ru 0.7902 0.9433 0.5000  2 Pa 2.62
Ru 0.9433 0.2098 0.5000  2 Pa 2.62

Results
* final energy: -0.6183 Ry/atom
* crystal system: tetragonal

=====

no.,magnetic moment (μB per atom)
1,0.00
2,0.00
3,0.00
4,0.00
5,0.00
6,0.00
7,0.00
8,0.00